Entry 1:
Computed, not measured: Na2ThGaTe5 after structural relaxation at the GGA-PBE level of DFT.

It has space group Cmc2_1 (No. 36), with a = 4.177 Å, b = 21.374 Å, c = 14.211 Å, α = 90.00°, β = 90.00° and γ = 90.00°. The inequivalent atoms are Na at (0.000, 0.098, 0.000), Na at (0.000, 0.114, 0.669), Th at (0.000, 0.207, 0.366), Ga at (0.000, 0.431, 0.757), Te at (0.000, 0.053, 0.374), Te at (0.000, 0.307, 0.022), Te at (0.000, 0.311, 0.699), Te at (0.000, 0.351, 0.344) and Te at (0.000, 0.499, 0.606).

The total magnetization comes out at 0.000 μB/atom. The formation energy without anion corrections comes out at -0.73 eV per atom. As for the total energy: -3.932 eV per atom. The calculation puts the density of states at the Fermi level at 0.741 states/eV per atom.



Entry 2:
Computed, not measured: Na2TiGaTe5 after structural relaxation at the GGA-PBE level of DFT.

It has space group Cmc2_1 (No. 36), with a = 3.839 Å, b = 19.514 Å, c = 14.961 Å, α = 90.00°, β = 90.00° and γ = 90.00°. The inequivalent atoms are Na at (0.000, 0.107, 0.000), Na at (0.000, 0.125, 0.658), Ti at (0.000, 0.221, 0.382), Ga at (0.000, 0.425, 0.759), Te at (0.000, 0.068, 0.381), Te at (0.000, 0.282, 0.012), Te at (0.000, 0.291, 0.739), Te at (0.000, 0.355, 0.337) and Te at (0.000, 0.495, 0.611).

The total magnetization comes out at 0.000 μB/atom. The formation energy without anion corrections comes out at -0.58 eV per atom. As for the total energy: -3.836 eV per atom. The calculation puts the density of states at the Fermi level at 0.476 states/eV per atom.



Entry 3:
Computed, not measured: NaTlGaTe3 after structural relaxation at the GGA-PBE level of DFT.

It has space group P2_1/m (No. 11), with a = 9.181 Å, b = 4.330 Å, c = 11.094 Å, α = 90.00°, β = 103.79° and γ = 90.00°. The inequivalent atoms are Na at (0.209, 0.250, 0.175), Tl at (0.337, 0.750, 0.901), Ga at (0.070, 0.250, 0.623), Te at (0.055, 0.250, 0.854), Te at (0.203, 0.750, 0.543) and Te at (0.463, 0.750, 0.188).

The total magnetization comes out at 0.000 μB/atom. The formation energy without anion corrections comes out at -0.38 eV per atom. As for the total energy: -3.065 eV per atom. The calculation puts the density of states at the Fermi level at 0.388 states/eV per atom.



Entry 4:
Computed, not measured: Na2TmGaTe4 after structural relaxation at the GGA-PBE level of DFT.

It has space group C2/c (No. 15), with a = 12.334 Å, b = 12.581 Å, c = 8.488 Å, α = 90.00°, β = 133.45° and γ = 90.00°. The inequivalent atoms are Na at (0.000, 0.000, 0.000), Na at (0.250, 0.250, 0.000), Tm at (0.250, 0.250, 0.500), Ga at (0.000, 0.500, 0.000), Te at (0.000, 0.255, 0.008) and Te at (0.218, 0.494, 0.469).

The total magnetization comes out at 0.000 μB/atom. The formation energy without anion corrections comes out at -0.82 eV per atom. As for the total energy: -3.662 eV per atom. The calculation puts the density of states at the Fermi level at 0.263 states/eV per atom.



Entry 5:
Computed, not measured: Na2UGaTe5 after structural relaxation at the GGA-PBE level of DFT.

It has space group Cmc2_1 (No. 36), with a = 4.292 Å, b = 19.655 Å, c = 14.472 Å, α = 90.00°, β = 90.00° and γ = 90.00°. The inequivalent atoms are Na at (0.000, 0.104, 0.000), Na at (0.000, 0.109, 0.329), U at (0.000, 0.212, 0.696), Ga at (0.000, 0.429, 0.087), Te at (0.000, 0.054, 0.701), Te at (0.000, 0.294, 0.339), Te at (0.000, 0.295, 0.046), Te at (0.000, 0.357, 0.667) and Te at (0.000, 0.492, 0.931).

The total magnetization comes out at 0.123 μB/atom. The formation energy without anion corrections comes out at -0.60 eV per atom. As for the total energy: -4.228 eV per atom. The calculation puts the density of states at the Fermi level at 0.625 states/eV per atom.



Entry 6:
Computed, not measured: NaThGa4 after structural relaxation at the GGA-PBE level of DFT.

It has space group F-43m (No. 216), with a = 7.928 Å, b = 7.928 Å, c = 7.928 Å, α = 90.00°, β = 90.00° and γ = 90.00°. The inequivalent atoms are Na at (0.000, 0.000, 0.000), Th at (0.250, 0.250, 0.250) and Ga at (0.125, 0.125, 0.625).

The total magnetization comes out at 0.000 μB/atom. The calculation puts the formation energy at -231 meV/atom. As for the total energy: -3.706 eV per atom. The calculation puts the density of states at the Fermi level at 0.758 states/eV per atom.



Entry 7:
Computed, not measured: NaThGa4 after structural relaxation at the GGA-PBE level of DFT.

It has space group Pmmm (No. 47), with a = 3.603 Å, b = 4.569 Å, c = 7.917 Å, α = 90.00°, β = 90.00° and γ = 90.00°. The inequivalent atoms are Na at (0.000, 0.000, 0.000), Th at (0.000, 0.500, 0.500), Ga at (0.500, 0.000, 0.332) and Ga at (0.500, 0.500, 0.162).

The total magnetization comes out at 0.000 μB/atom. The calculation puts the formation energy at -290 meV/atom. As for the total energy: -3.764 eV per atom. The calculation puts the density of states at the Fermi level at 0.564 states/eV per atom.



Entry 8:
Computed, not measured: NaThGa after structural relaxation at the GGA-PBE level of DFT.

It has space group C2/m (No. 12), with a = 6.142 Å, b = 5.945 Å, c = 9.665 Å, α = 90.00°, β = 108.51° and γ = 90.00°. The inequivalent atoms are Na at (0.246, 0.000, 0.499), Th at (0.189, 0.500, 0.878) and Ga at (0.145, 0.000, 0.789).

The total magnetization comes out at 0.000 μB/atom. The calculation puts the formation energy at -45 meV/atom. As for the total energy: -3.967 eV per atom. The calculation puts the density of states at the Fermi level at 1.157 states/eV per atom.



Look up the density of states at the Fermi level of the seventh one.
0.564 states/eV per atom



What is the density of states at the Fermi level in the first record?
0.741 states/eV per atom